(1)
A plane-wave DFT calculation with GGA-PBE was carried out for crystalline PrMgBe2H8 at its relaxed geometry.

## Properties
The space-group type is P-3 (147). The energy is -3.60 eV/atom. The spin magnetization comes out at 0.00 μB/cell.

Cell lengths 4.3119, 4.3119, 6.8700 Å; angles 90.00, 90.00, 120.00 degrees
Closest atoms and distances in Å follow each position.
Atoms (fractional coordinates):
Pr: 0.0000 0.0000 0.0000  12 H 2.51-2.52
Mg: 0.0000 0.0000 0.5000  6 H 1.93
Be: 0.3333 0.6667 0.7422  4 H 1.42-1.47
Be: 0.6667 0.3333 0.2578  4 H 1.42-1.47
H: 0.0261 0.3342 0.6945  1 Be 1.42
H: 0.3081 0.9739 0.6945  1 Be 1.42
H: 0.3333 0.6667 0.9559  1 Be 1.47
H: 0.3342 0.3081 0.3055  1 Be 1.42
H: 0.6658 0.6919 0.6945  1 Be 1.42
H: 0.6667 0.3333 0.0441  1 Be 1.47
H: 0.6919 0.0261 0.3055  1 Be 1.42
H: 0.9739 0.6658 0.3055  1 Be 1.42



(2)
A plane-wave DFT calculation with GGA-PBE was carried out for crystalline PuMgBe2H8 at its relaxed geometry.

## Properties
The space-group type is P-3 (147). The energy is -4.36 eV/atom. The spin magnetization comes out at 6.00 μB/cell.

Cell lengths 4.3304, 4.3304, 6.6076 Å; angles 90.00, 90.00, 120.00 degrees
Closest atoms and distances in Å follow each position.
Atoms (fractional coordinates):
Pu: 0.0000 0.0000 0.0000  12 H 2.41-2.51
Mg: 0.0000 0.0000 0.5000  6 H 1.92
Be: 0.3333 0.6667 0.7558  4 H 1.43-1.46
Be: 0.6667 0.3333 0.2442  4 H 1.43-1.46
H: 0.0303 0.3336 0.7015  1 Be 1.43
H: 0.3033 0.9697 0.7015  1 Be 1.43
H: 0.3333 0.6667 0.9760  1 Be 1.46
H: 0.3336 0.3033 0.2985  1 Be 1.43
H: 0.6664 0.6967 0.7015  1 Be 1.43
H: 0.6667 0.3333 0.0240  1 Be 1.46
H: 0.6967 0.0303 0.2985  1 Be 1.43
H: 0.9697 0.6664 0.2985  1 Be 1.43



(3)
A plane-wave DFT calculation with GGA-PBE was carried out for crystalline RbMgBe2H8 at its relaxed geometry.

## Properties
The space-group type is P-3 (147). The energy is -3.03 eV/atom. The spin magnetization comes out at 1.02 μB/cell.

Cell lengths 4.6770, 4.6770, 7.5196 Å; angles 90.00, 90.00, 120.00 degrees
Closest atoms and distances in Å follow each position.
Atoms (fractional coordinates):
Rb: 0.0000 0.0000 0.0000  12 H 2.85-3.00
Mg: 0.0000 0.0000 0.5000  6 H 1.93
Be: 0.3333 0.6667 0.6833  4 H 1.43-1.48
Be: 0.6667 0.3333 0.3167  4 H 1.43-1.48
H: 0.0513 0.3481 0.6569  1 Be 1.43
H: 0.2968 0.9487 0.6569  1 Be 1.43
H: 0.3333 0.6667 0.8800  1 Be 1.48
H: 0.3481 0.2968 0.3431  1 Be 1.43
H: 0.6519 0.7032 0.6569  1 Be 1.43
H: 0.6667 0.3333 0.1200  1 Be 1.48
H: 0.7032 0.0513 0.3431  1 Be 1.43
H: 0.9487 0.6519 0.3431  1 Be 1.43



(4)
A plane-wave DFT calculation with GGA-PBE was carried out for crystalline SrMgBeH6 at its relaxed geometry.

## Properties
The space-group type is P312 (149). The energy is -3.23 eV/atom. The spin magnetization comes out at 0.00 μB/cell.

Cell lengths 4.7320, 4.7320, 5.0202 Å; angles 90.00, 90.00, 120.00 degrees
Closest atoms and distances in Å follow each position.
Atoms (fractional coordinates):
Sr: 0.0000 0.0000 0.0000  6 H 2.38
Mg: 0.3333 0.6667 0.5000  6 H 1.90
Be: 0.6667 0.3333 0.5000  6 H 1.65
H: 0.4061 0.0404 0.6984  1 Be 1.65
H: 0.4061 0.3657 0.3016  1 Be 1.65
H: 0.6343 0.0404 0.3016  1 Be 1.65
H: 0.6343 0.5939 0.6984  1 Be 1.65
H: 0.9596 0.3657 0.6984  1 Be 1.65
H: 0.9596 0.5939 0.3016  1 Be 1.65



(5)
A plane-wave DFT calculation with GGA-PBE was carried out for crystalline SrMgBe2H8 at its relaxed geometry.

## Properties
The space-group type is P-3 (147). The energy is -3.42 eV/atom. The spin magnetization comes out at 0.00 μB/cell.

Cell lengths 4.4665, 4.4665, 6.9249 Å; angles 90.00, 90.00, 120.00 degrees
Closest atoms and distances in Å follow each position.
Atoms (fractional coordinates):
Sr: 0.0000 0.0000 0.0000  12 H 2.61-2.62
Mg: 0.0000 0.0000 0.5000  6 H 1.92
Be: 0.3333 0.6667 0.7368  4 H 1.42-1.44
Be: 0.6667 0.3333 0.2632  4 H 1.42-1.44
H: 0.0467 0.3425 0.6838  1 Be 1.42
H: 0.2959 0.9533 0.6838  1 Be 1.42
H: 0.3333 0.6667 0.9452  1 Be 1.44
H: 0.3425 0.2959 0.3162  1 Be 1.42
H: 0.6575 0.7041 0.6838  1 Be 1.42
H: 0.6667 0.3333 0.0548  1 Be 1.44
H: 0.7041 0.0467 0.3162  1 Be 1.42
H: 0.9533 0.6575 0.3162  1 Be 1.42



(6)
A plane-wave DFT calculation with GGA-PBE was carried out for crystalline MgBeTe2H at its relaxed geometry.

## Properties
The space-group type is P4/mmm (123). The energy is -2.49 eV/atom. The spin magnetization comes out at 0.00 μB/cell.

Cell lengths 4.9698, 4.9698, 3.7856 Å; angles 90.00, 90.00, 90.00 degrees
Closest atoms and distances in Å follow each position.
Atoms (fractional coordinates):
Mg: 0.0000 0.0000 0.0000  2 H 1.89
Be: 0.5000 0.5000 0.0000  8 Te 3.12
Te: 0.0000 0.5000 0.5000  2 H 2.48
Te: 0.5000 0.0000 0.5000  2 H 2.48
H: 0.0000 0.0000 0.5000  2 Mg 1.89



(7)
A plane-wave DFT calculation with GGA-PBE was carried out for crystalline MgBeTlH2 at its relaxed geometry.

## Properties
The space-group type is P4/mmm (123). The energy is -2.20 eV/atom. The spin magnetization comes out at 0.00 μB/cell.

Cell lengths 3.8799, 3.8799, 5.2790 Å; angles 90.00, 90.00, 90.00 degrees
Closest atoms and distances in Å follow each position.
Atoms (fractional coordinates):
Mg: 0.0000 0.0000 0.0000  2 Be 2.64, 4 Tl 2.74
Be: 0.0000 0.0000 0.5000  4 H 1.94
Tl: 0.5000 0.5000 0.0000  4 Mg 2.74
H: 0.0000 0.5000 0.5000  2 Be 1.94
H: 0.5000 0.0000 0.5000  2 Be 1.94



(8)
A plane-wave DFT calculation with GGA-PBE was carried out for crystalline Mn3BeH at its relaxed geometry.

## Properties
The space-group type is Pm-3m (221). The energy is -6.87 eV/atom. The spin magnetization comes out at 4.84 μB/cell.

Cell lengths 3.5644, 3.5644, 3.5644 Å; angles 90.00, 90.00, 90.00 degrees
Closest atoms and distances in Å follow each position.
Atoms (fractional coordinates):
Mn: 0.0000 0.0000 0.5000  2 H 1.78
Mn: 0.0000 0.5000 0.0000  2 H 1.78
Mn: 0.5000 0.0000 0.0000  2 H 1.78
Be: 0.5000 0.5000 0.5000  12 Mn 2.52
H: 0.0000 0.0000 0.0000  6 Mn 1.78



(9)
A plane-wave DFT calculation with GGA-PBE was carried out for crystalline MnBeH2 at its relaxed geometry.

## Properties
The space-group type is I-42d (122). The energy is -4.78 eV/atom. The spin magnetization comes out at 4.80 μB/cell.

Cell lengths 4.7682, 4.7682, 4.7682 Å; angles 134.83, 134.83, 65.80 degrees
Closest atoms and distances in Å follow each position.
Atoms (fractional coordinates):
Mn: 0.0000 0.0000 0.0000  4 H 1.69
Mn: 0.7500 0.2500 0.5000  4 H 1.69
Be: 0.2500 0.7500 0.5000  4 H 1.59
Be: 0.5000 0.5000 0.0000  4 H 1.59
H: 0.1482 0.6250 0.0232  2 Be 1.59, 2 Mn 1.69
H: 0.3750 0.3982 0.5232  2 Be 1.59, 2 Mn 1.69
H: 0.6018 0.1250 0.9768  2 Be 1.59, 2 Mn 1.69
H: 0.8750 0.8518 0.4768  2 Be 1.59, 2 Mn 1.69



(10)
A plane-wave DFT calculation with GGA-PBE was carried out for crystalline MnBe2H at its relaxed geometry.

## Properties
The space-group type is Fm-3m (225). The energy is -4.23 eV/atom. The spin magnetization comes out at 2.37 μB/cell.

Cell lengths 3.6612, 3.6612, 3.6612 Å; angles 60.00, 60.00, 60.00 degrees
Closest atoms and distances in Å follow each position.
Atoms (fractional coordinates):
Mn: 0.0000 0.0000 0.0000  8 Be 2.24
Be: 0.2500 0.2500 0.2500  4 Mn 2.24, 4 H 2.24
Be: 0.7500 0.7500 0.7500  4 Mn 2.24, 4 H 2.24
H: 0.5000 0.5000 0.5000  8 Be 2.24



(11)
A plane-wave DFT calculation with GGA-PBE was carried out for crystalline MnBeH2 at its relaxed geometry.

## Properties
The space-group type is R3m (160). The energy is -4.73 eV/atom. The spin magnetization comes out at 1.75 μB/cell.

Cell lengths 4.4782, 4.4782, 4.4782 Å; angles 34.55, 34.55, 34.55 degrees
Closest atoms and distances in Å follow each position.
Atoms (fractional coordinates):
Mn: 0.0000 0.0000 0.0000  6 H 1.77-1.81
Be: 0.8149 0.8149 0.8149  3 H 1.82
H: 0.4035 0.4035 0.4035  3 Mn 1.77, 3 Be 1.82
H: 0.5915 0.5915 0.5915  3 Mn 1.81



(12)
A plane-wave DFT calculation with GGA-PBE was carried out for crystalline Mn2Be16H at its relaxed geometry.

## Properties
The space-group type is R3m (160). The energy is -4.29 eV/atom. The spin magnetization comes out at 4.34 μB/cell.

Cell lengths 5.4292, 5.4292, 5.4292 Å; angles 82.77, 82.77, 82.77 degrees
Closest atoms and distances in Å follow each position.
Atoms (fractional coordinates):
Mn: 0.0000 0.0000 0.0000  13 Be 2.46-2.69
Mn: 0.3321 0.3321 0.3321  1 H 1.62
Be: 0.0066 0.0066 0.5063  8 Be 2.04-2.16
Be: 0.0066 0.5063 0.0066  8 Be 2.04-2.16
Be: 0.1694 0.6613 0.6613  1 H 2.04, 8 Be 2.08-2.10
Be: 0.3161 0.3161 0.8350  8 Be 2.04-2.18, 1 H 2.15
Be: 0.3161 0.8350 0.3161  8 Be 2.04-2.18, 1 H 2.15
Be: 0.3501 0.6655 0.9800  8 Be 2.08-2.26
Be: 0.3501 0.9800 0.6655  8 Be 2.08-2.26
Be: 0.5063 0.0066 0.0066  8 Be 2.04-2.16
Be: 0.6613 0.1694 0.6613  1 H 2.04, 8 Be 2.08-2.10
Be: 0.6613 0.6613 0.1694  1 H 2.04, 8 Be 2.08-2.10
Be: 0.6655 0.3501 0.9800  8 Be 2.08-2.26
Be: 0.6655 0.9800 0.3501  8 Be 2.08-2.26
Be: 0.7446 0.7446 0.7446  12 Be 2.29-2.41
Be: 0.8350 0.3161 0.3161  8 Be 2.04-2.18, 1 H 2.15
Be: 0.9800 0.3501 0.6655  8 Be 2.08-2.26
Be: 0.9800 0.6655 0.3501  8 Be 2.08-2.26
H: 0.4862 0.4862 0.4862  1 Mn 1.62



(13)
A plane-wave DFT calculation with GGA-PBE was carried out for crystalline MnBeH2 at its relaxed geometry.

## Properties
The space-group type is R-3m (166). The energy is -4.70 eV/atom. The spin magnetization comes out at 1.58 μB/cell.

Cell lengths 4.5712, 4.5712, 4.5712 Å; angles 33.41, 33.41, 33.41 degrees
Closest atoms and distances in Å follow each position.
Atoms (fractional coordinates):
Mn: 0.0000 0.0000 0.0000  2 H 1.59
Be: 0.5000 0.5000 0.5000  6 H 1.62
H: 0.1227 0.1227 0.1227  1 Mn 1.59, 3 Be 1.62
H: 0.8773 0.8773 0.8773  1 Mn 1.59, 3 Be 1.62